# 1
First-principles (GGA-PBE) data for a relaxed structure of NdY7, as listed in Alexandria via LeMat-Bulk. Values from VASP.

```
&SYSTEM
  ibrav = 0, nat = 8, ntyp = 2
/
ATOMIC_SPECIES
Nd 144.24 Nd.upf
Y 88.91 Y.upf
ATOMIC_POSITIONS angstrom
Nd 0.000 0.000 0.000
Y 2.532 2.532 0.000
Y 2.532 0.000 2.532
Y 5.064 2.532 2.532
Y 0.000 2.532 2.532
Y 2.532 5.064 2.532
Y 2.532 2.532 5.064
Y 5.064 5.064 5.064
CELL_PARAMETERS angstrom
0.000 5.064 5.064
5.064 0.000 5.064
5.064 5.064 0.000
```

Computed properties:
Energy above the lowest structure with this stoichiometry: 0.000 eV per atom
Total magnetization: 0.0 μB per cell
Final energy: -6.231 eV per atom
ΔE_f: 0.0209 eV per atom


# 2
First-principles (GGA-PBE) data for a relaxed structure of Li2La2Pb, as listed in Alexandria via LeMat-Bulk. Values from VASP.

```
&SYSTEM
  ibrav = 0, nat = 10, ntyp = 3
/
ATOMIC_SPECIES
Li 6.94 Li.upf
La 138.91 La.upf
Pb 207.20 Pb.upf
ATOMIC_POSITIONS angstrom
Li 1.465 2.862 0.000
Li 2.862 7.189 0.000
Li 5.793 1.465 0.000
Li 7.189 5.793 0.000
La 1.128 5.455 1.951
La 3.199 1.128 1.951
La 5.455 7.526 1.951
La 7.526 3.199 1.951
Pb 0.000 0.000 1.951
Pb 4.327 4.327 1.951
CELL_PARAMETERS angstrom
8.654 0.000 0.000
0.000 8.654 0.000
0.000 0.000 3.902
```

Computed properties:
Energy above the lowest structure with this stoichiometry: 0.324 eV per atom
Total magnetization: 0.0 μB per cell
Final energy: -3.408 eV per atom
ΔE_f: 0.0707 eV per atom


# 3
First-principles (GGA-PBE) data for a relaxed structure of Ac2SmPd, as listed in Alexandria via LeMat-Bulk. Values from VASP.

```
&SYSTEM
  ibrav = 0, nat = 4, ntyp = 3
/
ATOMIC_SPECIES
Ac 227.00 Ac.upf
Sm 150.36 Sm.upf
Pd 106.42 Pd.upf
ATOMIC_POSITIONS angstrom
Ac 0.000 0.000 2.769
Ac 0.000 0.000 32.411
Sm 0.000 0.000 17.590
Pd 0.000 0.000 0.000
CELL_PARAMETERS angstrom
1.888 1.090 11.727
-1.888 1.090 11.727
0.000 -2.180 11.727
```

Computed properties:
Energy above the lowest structure with this stoichiometry: 0.546 eV per atom
Total magnetization: 0.0 μB per cell
Final energy: -4.377 eV per atom
ΔE_f: 0.1553 eV per atom


# 4
First-principles (GGA-PBE) data for a relaxed structure of Ca2PRh, as listed in Alexandria via LeMat-Bulk. Values from VASP.

```
&SYSTEM
  ibrav = 0, nat = 4, ntyp = 3
/
ATOMIC_SPECIES
Ca 40.08 Ca.upf
P 30.97 P.upf
Rh 102.91 Rh.upf
ATOMIC_POSITIONS angstrom
Ca 0.000 0.000 0.000
Ca 2.102 0.000 2.849
P 0.000 0.000 6.865
Rh 2.102 0.000 5.845
CELL_PARAMETERS angstrom
4.204 0.000 0.000
0.000 2.205 4.928
0.000 -2.205 4.928
```

Computed properties:
Total magnetization: 0.0 μB per cell
Final energy: -5.022 eV per atom
ΔE_f: -0.8312 eV per atom


# 5
First-principles (GGA-PBE) data for a relaxed structure of Ta2CdHg, as listed in Alexandria via LeMat-Bulk. Values from VASP.

```
&SYSTEM
  ibrav = 0, nat = 4, ntyp = 3
/
ATOMIC_SPECIES
Ta 180.95 Ta.upf
Cd 112.41 Cd.upf
Hg 200.59 Hg.upf
ATOMIC_POSITIONS angstrom
Ta 1.439 2.271 0.000
Ta 1.439 -2.271 0.000
Cd 0.000 0.000 1.458
Hg 2.879 0.000 1.458
CELL_PARAMETERS angstrom
2.879 -4.543 0.000
2.879 4.543 0.000
0.000 0.000 2.916
```

Computed properties:
Energy above the lowest structure with this stoichiometry: 0.188 eV per atom
Total magnetization: 0.0 μB per cell
Final energy: -5.875 eV per atom
ΔE_f: 0.3554 eV per atom


# 6
First-principles (GGA-PBE) data for a relaxed structure of Y6AsPt2Se3, as listed in Alexandria via LeMat-Bulk. Values from VASP.

```
&SYSTEM
  ibrav = 0, nat = 12, ntyp = 4
/
ATOMIC_SPECIES
Y 88.91 Y.upf
As 74.92 As.upf
Pt 195.08 Pt.upf
Se 78.96 Se.upf
ATOMIC_POSITIONS angstrom
Y -0.435 0.000 1.989
Y 4.018 0.000 7.115
Y 5.144 0.000 3.312
Y 10.803 0.000 4.721
Y 11.928 0.000 0.918
Y 16.382 0.000 6.044
As 9.149 0.000 0.000
Pt 2.318 0.000 2.849
Pt 13.629 0.000 5.185
Se 0.964 0.000 6.821
Se 7.973 0.000 4.017
Se 14.983 0.000 1.212
CELL_PARAMETERS angstrom
9.149 -2.024 0.000
9.149 2.024 0.000
-2.352 0.000 8.033
```

Computed properties:
Total magnetization: 0.0 μB per cell
Final energy: -7.041 eV per atom
Formation energy from raw total energies: -1543 meV/atom